(1)
Entry from the Alexandria database: an optimized crystal structure of Hg5Sb2Pb5 (PBE).

The value obtained for the uncorrected formation energy is 0.0404 eV/atom.

```
12
Lattice="0.044 4.961 -1.590 -2.431 4.982 6.943 6.730 3.930 3.915" Properties=species:S:1:pos:R:3 pbc="T T T"
Pb 0.872 6.012 1.714
Pb 0.000 0.000 0.000
Pb 1.075 9.995 5.611
Pb 3.471 7.861 7.555
Pb 3.268 3.878 3.658
Hg -1.318 6.949 4.576
Hg 2.234 10.937 8.585
Hg 2.171 6.937 4.634
Hg 5.661 6.924 4.692
Hg 2.109 2.936 0.683
Sb -0.041 4.106 4.277
Sb 4.384 9.767 4.992
```

---

(2)
Entry from the Alexandria database: an optimized crystal structure of Zn8Cu6Pt (PBE).

As for the energy relative to the elements: -7 kJ/mol of atoms.

```
15
Lattice="-5.148 -4.053 -1.153 -3.433 -2.549 5.097 -6.181 2.049 1.203" Properties=species:S:1:pos:R:3 pbc="T T T"
Cu -4.098 -2.189 2.503
Cu -10.666 -2.365 2.644
Cu -2.120 -0.669 1.535
Cu -11.021 -2.573 5.287
Cu -12.643 -3.884 3.612
Cu -3.742 -1.980 -0.140
Zn -8.856 -2.695 0.612
Zn -5.908 -1.859 4.535
Zn -5.870 -0.317 2.307
Zn -8.261 -1.152 2.544
Zn -6.503 -3.402 2.603
Zn -6.202 -2.197 0.383
Zn -8.893 -4.236 2.840
Zn -8.562 -2.356 4.764
Pt 0.000 0.000 0.000
```